# Mg2SeBr, optimized geometry, DFT GGA-PBEsol
data_Mg2SeBr
_symmetry_space_group_name_H-M 'R 3 m'
_symmetry_Int_Tables_number 160
_symmetry_space_group_name_Hall 'R 3 -2"'
_cell_length_a 4.0988
_cell_length_b 4.0988
_cell_length_c 23.6111
_cell_angle_alpha 90.00
_cell_angle_beta 90.00
_cell_angle_gamma 120.00
loop_
_atom_site_label
_atom_site_fract_x
_atom_site_fract_y
_atom_site_fract_z
Mg1 0.0000 0.0000 0.0000
Mg2 0.0000 0.0000 0.2210
Se1 0.0000 0.0000 0.6973
Br1 0.0000 0.0000 0.4983
# E above lowest polymorph	9	meV per atom
# electronic total energy	-2.993	eV per atom
# uncorrected formation energy	-2.82	eV/f.u.